1.
Entry from Alexandria via LeMat-Bulk: a relaxed structure of Dy2Mg3Ag4 (GGA-PBE).

Cell and atoms, written as CIF:
```
data_Dy2Mg3Ag4
_chemical_formula_sum 'Dy4 Mg6 Ag8'
_symmetry_space_group_name_H-M 'P 1'
_symmetry_Int_Tables_number 1
_cell_length_a 6.0319
_cell_length_b 7.7837
_cell_length_c 8.9657
_cell_angle_alpha 90.00
_cell_angle_beta 109.66
_cell_angle_gamma 90.00
loop_
_symmetry_equiv_pos_as_xyz
'x,y,z'
loop_
_atom_site_label
_atom_site_type_symbol
_atom_site_fract_x
_atom_site_fract_y
_atom_site_fract_z
Dy1 Dy 0.0998 0.5984 0.1996
Dy2 Dy 0.9002 0.4016 0.8004
Dy3 Dy 0.4002 0.0984 0.8004
Dy4 Dy 0.5998 0.9016 0.1996
Mg1 Mg 0.0000 0.0000 0.0000
Mg2 Mg 0.5000 0.5000 0.0000
Mg3 Mg 0.5171 0.7500 0.5342
Mg4 Mg 0.9829 0.2500 0.4658
Mg5 Mg 0.4829 0.2500 0.4658
Mg6 Mg 0.0171 0.7500 0.5342
Ag1 Ag 0.6845 0.7500 0.8689
Ag2 Ag 0.8155 0.2500 0.1311
Ag3 Ag 0.3155 0.2500 0.1311
Ag4 Ag 0.1845 0.7500 0.8689
Ag5 Ag 0.1670 0.9737 0.3340
Ag6 Ag 0.8330 0.0263 0.6660
Ag7 Ag 0.3330 0.4737 0.6660
Ag8 Ag 0.6670 0.5263 0.3340
```

Summary:
Calculated formation energy ... -1.9 eV/f.u.
Energy above the lowest structure with this stoichiometry ... 26 meV/atom
Electronic total energy ... -0.111 hartree per atom

2.
Entry from Alexandria via LeMat-Bulk: a relaxed structure of TlInBr2 (GGA-PBE).

Cell and atoms, written as CIF:
```
data_TlInBr2
_chemical_formula_sum 'Tl1 In1 Br2'
_symmetry_space_group_name_H-M 'P 1'
_symmetry_Int_Tables_number 1
_cell_length_a 6.2071
_cell_length_b 6.2065
_cell_length_c 7.9060
_cell_angle_alpha 50.35
_cell_angle_beta 50.35
_cell_angle_gamma 42.56
loop_
_symmetry_equiv_pos_as_xyz
'x,y,z'
loop_
_atom_site_label
_atom_site_type_symbol
_atom_site_fract_x
_atom_site_fract_y
_atom_site_fract_z
Tl1 Tl 0.8004 0.2456 0.5760
In1 In 0.3006 0.7456 0.0813
Br1 Br 0.0483 0.4933 0.6632
Br2 Br 0.5551 0.0001 0.1580
```

Summary:
Formation energy without anion corrections ... -0.725 eV/atom
Energy above the lowest structure with this stoichiometry ... 29 meV/atom
Electronic total energy ... -0.104 hartree per atom

3.
Entry from Alexandria via LeMat-Bulk: a relaxed structure of Be2AsRuW (GGA-PBE).

Cell and atoms, written as CIF:
```
data_Be2AsRuW
_chemical_formula_sum 'Be2 As1 Ru1 W1'
_symmetry_space_group_name_H-M 'P 1'
_symmetry_Int_Tables_number 1
_cell_length_a 4.4036
_cell_length_b 4.6508
_cell_length_c 4.4036
_cell_angle_alpha 90.00
_cell_angle_beta 90.00
_cell_angle_gamma 90.00
loop_
_symmetry_equiv_pos_as_xyz
'x,y,z'
loop_
_atom_site_label
_atom_site_type_symbol
_atom_site_fract_x
_atom_site_fract_y
_atom_site_fract_z
Ru1 Ru 0.0000 0.5000 0.0000
As1 As 0.5000 0.5000 0.5000
W1 W 0.0000 0.0000 0.0000
Be1 Be 0.0000 0.0000 0.5000
Be2 Be 0.5000 0.0000 0.0000
```

Summary:
Calculated formation energy ... 7.6 eV/f.u.
Electronic total energy ... -0.196 hartree per atom

4.
Entry from Alexandria via LeMat-Bulk: a relaxed structure of CsBi2H (GGA-PBE).

Cell and atoms, written as CIF:
```
data_CsBi2H
_chemical_formula_sum 'Cs2 Bi4 H2'
_symmetry_space_group_name_H-M 'P 1'
_symmetry_Int_Tables_number 1
_cell_length_a 7.2068
_cell_length_b 7.2068
_cell_length_c 7.2431
_cell_angle_alpha 60.17
_cell_angle_beta 60.17
_cell_angle_gamma 90.00
loop_
_symmetry_equiv_pos_as_xyz
'x,y,z'
loop_
_atom_site_label
_atom_site_type_symbol
_atom_site_fract_x
_atom_site_fract_y
_atom_site_fract_z
Cs1 Cs 0.0000 0.0000 0.0000
Cs2 Cs 0.7500 0.2500 0.5000
H1 H 0.5000 0.5000 0.0000
H2 H 0.2500 0.7500 0.5000
Bi1 Bi 0.3747 0.1250 0.2500
Bi2 Bi 0.3753 0.6250 0.2500
Bi3 Bi 0.3750 0.6253 0.7500
Bi4 Bi 0.8750 0.6247 0.7500
```

Summary:
Electronic total energy ... -0.110 hartree per atom

Across the entries above, calculated density takes the values 6.95, 5.30, 6.96, 6.86 g cm⁻³, respectively.